# 1
SmTmCo2Ge2: relaxed, PBE-GGA.

Electronic total energy, eV/atom: -6.03

abc: 4.2023 4.2023 7.1616
angles: 90.00 90.00 120.00
Atoms (fractional coordinates):
Sm 0.0000 0.0000 0.0000
Tm 0.0000 0.0000 0.5000
Co 0.3333 0.6667 0.7166
Co 0.6667 0.3333 0.2834
Ge 0.3333 0.6667 0.2700
Ge 0.6667 0.3333 0.7300


# 2
SmZn2Co2Ge: relaxed, PBE-GGA.

Electronic total energy, eV/atom: -4.43

abc: 4.3500 4.3500 5.6545
angles: 90.00 90.00 90.00
Atoms (fractional coordinates):
Sm 0.0000 0.0000 0.5000
Zn 0.5000 0.5000 0.7405
Zn 0.5000 0.5000 0.2595
Co 0.5000 0.0000 0.0000
Co 0.0000 0.5000 0.0000
Ge 0.0000 0.0000 0.0000


# 3
CoSnGe2: relaxed, PBE-GGA.

Electronic total energy, eV/atom: -4.87

abc: 4.6158 4.6158 8.2938
angles: 73.84 73.84 90.00
Atoms (fractional coordinates):
Ge 0.5241 0.1250 0.2500
Ge 0.2259 0.6250 0.2500
Ge 0.3750 0.4759 0.7500
Ge 0.8750 0.7741 0.7500
Co 0.5000 0.5000 0.0000
Co 0.2500 0.7500 0.5000
Sn 0.0000 0.0000 0.0000
Sn 0.7500 0.2500 0.5000


# 4
Co2SnGe: relaxed, PBE-GGA.

Electronic total energy, eV/atom: -5.84

abc: 5.4318 6.3541 6.9392
angles: 90.00 90.13 90.00
Atoms (fractional coordinates):
Co 0.5089 0.7224 0.1734
Co 0.0089 0.7776 0.1734
Co 0.9952 0.2102 0.4102
Co 0.9911 0.2224 0.8266
Co 0.0048 0.7898 0.5898
Co 0.5048 0.7102 0.5898
Co 0.4911 0.2776 0.8266
Co 0.4952 0.2898 0.4102
Sn 0.2221 0.4023 0.1189
Sn 0.2779 0.9023 0.8811
Sn 0.7221 0.0977 0.1189
Sn 0.7779 0.5977 0.8811
Ge 0.7031 0.0502 0.6183
Ge 0.2031 0.4498 0.6183
Ge 0.2969 0.9498 0.3817
Ge 0.7969 0.5502 0.3817


Which value of electronic total energy does entry 4 give?
-5.84 eV/atom


What is the electronic total energy in the third record?
-4.87 eV/atom


What is the electronic total energy in the second record?
-4.43 eV/atom


Which of these has the highest electronic total energy?
SmZn2Co2Ge